FeAs2Ir: PBEsol geometry, SCAN.

POSCAR file:
```
FeAs2Ir
1.0
2.871 0.057 0.000
0.068 5.082 0.000
-1.470 -2.570 4.084
Ir As Fe
1 2 1
direct
0.500 0.000 0.000
0.500 0.000 0.500
0.000 0.500 0.500
0.000 0.500 0.000
```

Its space group is No. 12.



LaYP: PBEsol geometry, SCAN.

POSCAR file:
```
LaYP
1.0
-2.309 -3.176 -0.220
2.234 1.023 -3.071
5.002 -3.800 2.373
P La Y
1 1 1
direct
0.333 0.667 0.655
0.000 0.000 0.913
0.667 0.333 0.432
```

Its space group is No. 156. As for the distance to the lowest polymorph of the same formula: 0.0 meV/atom.



DFT formation energy? In order: 0.363, -1.116 eV/atom.
Ρ? In order: 11.1, 4.8 g cm⁻³.